Record 1
The following is a DFT calculation (PBE) of a geometry-optimized Th6TcIr2Se3 structure.

Properties
As for the uncorrected energy: -8.074 eV/atom. For the volume, the calculation gives 27.170 A^3/atom. The density of states at the Fermi level is 6.57 states/eV/f.u. Its crystal system is monoclinic. The formation energy (no corrections) comes out at -1.152 eV/atom.

abc: 9.6956 9.6956 8.7703
angles: 107.64 107.64 24.58
Last column: nearest neighbours and their distance in Å.
Sites, in units of the cell vectors:
Th (0.0064, 0.0064, 0.2267)  2 Tc 2.84, 1 Ir 2.90, 1 Se 3.16
Th (0.3267, 0.3267, 0.4362)  3 Ir 2.86-2.87, 3 Se 3.15-3.16
Th (0.3438, 0.3438, 0.9013)  1 Tc 2.81, 2 Ir 2.88
Th (0.6562, 0.6562, 0.0987)  1 Tc 2.81, 2 Ir 2.88
Th (0.6733, 0.6733, 0.5638)  3 Ir 2.86-2.87, 3 Se 3.15-3.16
Th (0.9936, 0.9936, 0.7733)  2 Tc 2.84, 1 Ir 2.90, 1 Se 3.16
Tc (0.5000, 0.5000, 0.0000)  6 Th 2.81-2.84
Ir (0.1676, 0.1676, 0.3349)  6 Th 2.86-2.90
Ir (0.8324, 0.8324, 0.6651)  6 Th 2.86-2.90
Se (0.1669, 0.1669, 0.8323)  6 Th 3.16-3.22
Se (0.5000, 0.5000, 0.5000)  6 Th 3.15-3.19
Se (0.8331, 0.8331, 0.1677)  6 Th 3.16-3.22

***

Record 2
The following is a DFT calculation (PBE) of a geometry-optimized TcIrW2Se structure.

Properties
As for the uncorrected energy: -7.739 eV/atom. For the volume, the calculation gives 20.157 A^3/atom. The density of states at the Fermi level is 6.94 states/eV/f.u. Its crystal system is tetragonal. The formation energy (no corrections) comes out at 1.985 eV/atom.

abc: 4.7181 4.7181 4.5276
angles: 90.00 90.00 90.00
Last column: nearest neighbours and their distance in Å.
Sites, in units of the cell vectors:
Tc (0.0000, 0.0000, 0.0000)  2 Se 2.26, 4 W 2.36
Ir (0.5000, 0.5000, 0.5000)  8 W 3.27, 4 Se 3.34
W (0.0000, 0.5000, 0.0000)  2 Tc 2.36
W (0.5000, 0.0000, 0.0000)  2 Tc 2.36
Se (0.0000, 0.0000, 0.5000)  2 Tc 2.26

***

Record 3
The following is a DFT calculation (PBE) of a geometry-optimized Zr2TcIrSe structure.

Properties
As for the uncorrected energy: -7.471 eV/atom. For the volume, the calculation gives 24.434 A^3/atom. The density of states at the Fermi level is 6.76 states/eV/f.u. Its crystal system is tetragonal. The formation energy (no corrections) comes out at 0.491 eV/atom.

abc: 5.0942 5.0942 4.7078
angles: 90.00 90.00 90.00
Last column: nearest neighbours and their distance in Å.
Sites, in units of the cell vectors:
Zr (0.0000, 0.5000, 0.0000)  2 Ir 2.55
Zr (0.5000, 0.0000, 0.0000)  2 Ir 2.55
Tc (0.0000, 0.0000, 0.5000)  2 Ir 2.35
Ir (0.0000, 0.0000, 0.0000)  2 Tc 2.35, 4 Zr 2.55
Se (0.5000, 0.5000, 0.5000)  8 Zr 3.47, 4 Tc 3.60

***

Record 4
The following is a DFT calculation (PBE) of a geometry-optimized TeIrSe2 structure.

Properties
As for the uncorrected energy: -4.814 eV/atom. For the volume, the calculation gives 21.694 A^3/atom. The density of states at the Fermi level is 2.40 states/eV/f.u. Its crystal system is orthorhombic. The formation energy (no corrections) comes out at -0.072 eV/atom.

abc: 5.4142 8.8760 3.6114
angles: 90.00 90.00 90.00
Last column: nearest neighbours and their distance in Å.
Sites, in units of the cell vectors:
Te (0.0000, 0.0000, 0.0000)  2 Ir 2.71
Te (0.5000, 0.5000, 0.0000)  2 Ir 2.71
Ir (0.0000, 0.5000, 0.0000)  4 Se 2.50, 2 Te 2.71
Ir (0.5000, 0.0000, 0.0000)  4 Se 2.50, 2 Te 2.71
Se (0.0000, 0.3054, 0.5000)  2 Ir 2.50
Se (0.0000, 0.6946, 0.5000)  2 Ir 2.50
Se (0.5000, 0.1946, 0.5000)  2 Ir 2.50
Se (0.5000, 0.8054, 0.5000)  2 Ir 2.50